one) Material: Ba3AsS
Method: DFT, PBE
State: optimized geometry

As for the density of states at the Fermi level: 1.392 states/eV/f.u.

It has space group P2_1/m (No. 11), with a = 9.534 Å, b = 4.514 Å, c = 9.659 Å, α = 90.00°, β = 104.00° and γ = 90.00°. The asymmetric unit holds Ba at (0.078, 0.250, 0.334), Ba at (0.266, 0.250, 0.012), Ba at (0.405, 0.750, 0.643), As at (0.322, 0.750, 0.277) and S at (0.168, 0.250, 0.671).


two) Material: Ba3AsS
Method: DFT, PBE
State: optimized geometry

As for the density of states at the Fermi level: 3.209 states/eV/f.u.

It has space group Pm-3m (No. 221), with a = 5.931 Å, b = 5.931 Å, c = 5.931 Å, α = 90.00°, β = 90.00° and γ = 90.00°. The asymmetric unit holds Ba at (0.000, 0.000, 0.500), As at (0.500, 0.500, 0.500) and S at (0.000, 0.000, 0.000).


Most favorable first, least favorable last: one), two)


one) Material: Ba4As2S
Method: DFT, PBE
State: optimized geometry

As for the density of states at the Fermi level: 0.014 states/eV/f.u.

It has space group I4/mmm (No. 139), with a = 5.802 Å, b = 5.802 Å, c = 17.359 Å, α = 90.00°, β = 90.00° and γ = 90.00°. The asymmetric unit holds Ba at (0.000, 0.000, 0.186), Ba at (0.000, 0.500, 0.000), As at (0.000, 0.000, 0.371) and S at (0.000, 0.000, 0.000).


two) Material: Ba4As2S
Method: DFT, PBE
State: optimized geometry

It has space group I4_1/amd (No. 141, origin choice 2), with a = 9.627 Å, b = 9.627 Å, c = 13.570 Å, α = 90.00°, β = 90.00° and γ = 90.00°. The asymmetric unit holds Ba at (0.000, 0.018, 0.259), As at (0.000, 0.000, 0.500) and S at (0.000, 0.250, 0.875).


Most favorable first, least favorable last: two), one)


one) Material: BaAsSe2S
Method: DFT, PBE
State: optimized geometry

As for the density of states at the Fermi level: 5.084 states/eV/f.u.

It has space group P4/mmm (No. 123), with a = 5.139 Å, b = 5.139 Å, c = 4.939 Å, α = 90.00°, β = 90.00° and γ = 90.00°. The asymmetric unit holds Ba at (0.000, 0.000, 0.000), As at (0.500, 0.500, 0.000), Se at (0.000, 0.500, 0.500) and S at (0.500, 0.500, 0.500).


two) Material: BaAsSe2S
Method: DFT, PBE
State: optimized geometry

As for the density of states at the Fermi level: 10.386 states/eV/f.u.

It has space group P4/mmm (No. 123), with a = 6.188 Å, b = 6.188 Å, c = 6.306 Å, α = 90.00°, β = 90.00° and γ = 90.00°. The asymmetric unit holds Ba at (0.000, 0.000, 0.000), As at (0.000, 0.000, 0.500), Se at (0.000, 0.500, 0.000) and S at (0.500, 0.500, 0.500).


Most favorable first, least favorable last: one), two)


one) Material: Ba2SbAs2
Method: DFT, PBE
State: optimized geometry

As for the density of states at the Fermi level: 4.523 states/eV/f.u.

It has space group P4/mbm (No. 127), with a = 8.161 Å, b = 8.161 Å, c = 4.806 Å, α = 90.00°, β = 90.00° and γ = 90.00°. The asymmetric unit holds Ba at (0.183, 0.317, 0.000), Sb at (0.000, 0.000, 0.500) and As at (0.110, 0.610, 0.500).


two) Material: Ba2SbAs2
Method: DFT, PBE
State: optimized geometry

As for the density of states at the Fermi level: 2.456 states/eV/f.u.

It has space group I4/mmm (No. 139), with a = 4.075 Å, b = 4.075 Å, c = 19.830 Å, α = 90.00°, β = 90.00° and γ = 90.00°. The asymmetric unit holds Ba at (0.000, 0.000, 0.114), Sb at (0.000, 0.000, 0.500) and As at (0.000, 0.500, 0.250).


Most favorable first, least favorable last: one), two)


one) Material: BaSb3As
Method: DFT, PBE
State: optimized geometry

As for the density of states at the Fermi level: 7.540 states/eV/f.u.

It has space group Pm-3m (No. 221), with a = 6.277 Å, b = 6.277 Å, c = 6.277 Å, α = 90.00°, β = 90.00° and γ = 90.00°. The asymmetric unit holds Ba at (0.000, 0.000, 0.000), Sb at (0.000, 0.000, 0.500) and As at (0.500, 0.500, 0.500).


two) Material: BaSb3As
Method: DFT, PBE
State: optimized geometry

As for the density of states at the Fermi level: 5.367 states/eV/f.u.

It has space group Pm-3m (No. 221), with a = 5.527 Å, b = 5.527 Å, c = 5.527 Å, α = 90.00°, β = 90.00° and γ = 90.00°. The asymmetric unit holds Ba at (0.000, 0.000, 0.000), Sb at (0.000, 0.500, 0.500) and As at (0.500, 0.500, 0.500).


Most favorable first, least favorable last: two), one)


one) Material: BaSbAs
Method: DFT, PBE
State: optimized geometry

As for the density of states at the Fermi level: 1.606 states/eV/f.u.

It has space group I4mm (No. 107), with a = 4.803 Å, b = 4.803 Å, c = 9.302 Å, α = 90.00°, β = 90.00° and γ = 90.00°. The asymmetric unit holds Ba at (0.000, 0.000, 0.000), Sb at (0.000, 0.000, 0.636) and As at (0.000, 0.000, 0.366).


two) Material: BaSbAs
Method: DFT, PBE
State: optimized geometry

As for the density of states at the Fermi level: 1.076 states/eV/f.u.

It has space group Amm2 (No. 38), with a = 4.506 Å, b = 19.846 Å, c = 4.491 Å, α = 90.00°, β = 90.00° and γ = 90.00°. The asymmetric unit holds Ba at (0.000, 0.148, 0.000), Sb at (0.000, 0.000, 0.494), Sb at (0.500, 0.000, 0.071) and As at (0.500, 0.219, 0.502).


three) Material: BaSbAs
Method: DFT, PBE
State: optimized geometry

It has space group Cc (No. 9), with a = 11.336 Å, b = 9.569 Å, c = 9.231 Å, α = 90.00°, β = 117.01° and γ = 90.00°. The asymmetric unit holds Ba at (0.000, 0.049, 0.000), Ba at (0.427, 0.094, 0.715), Sb at (0.208, 0.489, 0.617), Sb at (0.326, 0.259, 0.063), As at (0.213, 0.047, 0.863) and As at (0.234, 0.259, 0.290).


four) Material: BaSbAs
Method: DFT, PBE
State: optimized geometry

As for the density of states at the Fermi level: 2.214 states/eV/f.u.

It has space group F-43m (No. 216), with a = 7.640 Å, b = 7.640 Å, c = 7.640 Å, α = 90.00°, β = 90.00° and γ = 90.00°. The asymmetric unit holds Ba at (0.000, 0.000, 0.000), Sb at (0.250, 0.250, 0.750) and As at (0.000, 0.000, 0.500).


Most favorable first, least favorable last: two), three), one), four)